[1]
9
Lattice="3.5990 0.0000 0.0000 0.0000 10.0461 0.0000 0.0000 -5.0231 8.7002" Properties=species:S:1:pos:R:3 comment="Nd7Sm2 (PBE, relaxed)" vol_a3_per_cell=315 magnetic_moment_mub_per_atom=0.00 de_polymorph_mev_per_atom=25 density_g_cm3=6.9 sg="P-62m (189)" pbc="T T T"
Sm 0.0000 5.0231 2.9001
Sm 0.0000 0.0000 5.8001
Nd 1.7995 6.4720 0.0000
Nd 0.0000 -1.5599 2.7019
Nd 1.7995 0.0000 0.0000
Nd 1.7995 1.7871 3.0953
Nd 1.7995 -3.2360 5.6049
Nd 0.0000 3.1198 0.0000
Nd 0.0000 3.4631 5.9983

***

[2]
32
Lattice="6.3657 0.0000 0.0000 0.0000 7.0227 0.0000 0.0000 0.0000 10.4175" Properties=species:S:1:pos:R:3 comment="TmAg2F5 (PBE, relaxed)" vol_a3_per_cell=466 magnetic_moment_mub_per_atom=0.00 density_g_cm3=6.8 sg="Pnma (62)" raw_formation_energy_ev_per_atom=-2.563 pbc="T T T"
Tm 3.6402 5.2670 5.1519
Tm 0.4573 1.7557 0.0569
Tm 5.9085 5.2670 10.3606
Tm 2.7256 1.7557 5.2656
Ag 0.2092 7.0078 3.4209
Ag 0.2092 3.5263 3.4209
Ag 6.1566 3.4964 6.9966
Ag 2.9737 7.0078 8.6296
Ag 3.3921 3.4964 1.7878
Ag 6.1566 0.0149 6.9966
Ag 2.9737 3.5263 8.6296
Ag 3.3921 0.0149 1.7878
F 5.5304 1.7557 1.7935
F 0.9470 3.7841 0.8201
F 2.2359 3.7841 6.0288
F 4.0182 1.7557 7.0023
F 4.1299 0.2727 4.3886
F 2.6446 1.7557 0.1810
F 0.8354 5.2670 8.6239
F 3.7211 5.2670 10.2365
F 5.8275 5.2670 5.0278
F 4.1299 3.2386 4.3886
F 2.2359 6.7500 6.0288
F 2.3475 5.2670 3.4152
F 5.4187 3.2386 9.5973
F 5.2349 5.2670 2.0421
F 5.4187 0.2727 9.5973
F 0.9470 6.7500 0.8201
F 1.1309 1.7557 8.3754
F 0.5382 1.7557 5.3897
F 4.3137 5.2670 7.2508
F 2.0520 1.7557 3.1667

***

[3]
5
Lattice="-1.5888 -2.6068 4.4284 4.5968 0.7198 2.0729 -1.6867 4.6430 2.1280" Properties=species:S:1:pos:R:3 comment="ZnSnBi2Mo (PBE, relaxed)" vol_a3_per_cell=147 magnetic_moment_mub_per_atom=0.79 density_g_cm3=7.9 sg="P4/mmm (123)" energy_ev_per_cell=-18.49 pbc="T T T"
Bi -0.8433 2.3215 1.0640
Bi -0.7944 -1.3034 2.2142
Zn 0.0000 0.0000 0.0000
Mo 0.6607 1.3780 4.3147
Sn 2.2984 0.3599 1.0365